Entry from Alexandria: a geometry-optimized Cd2FeCo structure (PBE-GGA).

The volume comes out at 15.9 A^3/atom. The total energy comes out at -3.952 eV per atom. For the energy of formation, the calculation gives 0.40 eV/atom.

The structure belongs to space group C2/m (No. 12); the cell edges are 5.580, 8.118 and 2.807 Å and the angles 90.00°, 90.19° and 90.00°. The distinct sites, in fractional coordinates, are Cd at (0.250, 0.250, 0.000), Fe at (0.000, 0.000, 0.500) and Co at (0.000, 0.500, 0.500).